Record 1
Compound: Cs2Li2Hg
Source: the Alexandria database
Functional: PBE-GGA
Structure: relaxed

a b c (Å): 12.409 12.409 12.409
angles (deg): 159.57 159.57 29.05
Fractional coordinates of all 5 atoms:
Cs (0.102, 0.102, 0.000)
Cs (0.898, 0.898, 0.000)
Li (0.250, 0.750, 0.500)
Li (0.750, 0.250, 0.500)
Hg (0.500, 0.500, 0.000)

Calculated values
- E above lowest polymorph (eV per atom) = 0.000
- formation energy (meV/atom) = 43
- symmetry = I4/mmm (139)
- ρ (g cm⁻³) = 3.4

---

Record 2
Compound: FeCoS2
Source: the Alexandria database
Functional: PBE-GGA
Structure: relaxed

a b c (Å): 7.187 7.187 7.187
angles (deg): 25.07 25.07 25.07
Fractional coordinates of all 4 atoms:
Fe (0.000, 0.000, 0.000)
Co (0.500, 0.500, 0.500)
S (0.398, 0.398, 0.398)
S (0.602, 0.602, 0.602)

Calculated values
- E above lowest polymorph (eV per atom) = 0.456
- symmetry = R-3m (166)
- ρ (g cm⁻³) = 5.1
- ΔE_f (raw) (eV/atom) = -0.05

---

Record 3
Compound: Y2ScHAu
Source: the Alexandria database
Functional: PBE-GGA
Structure: relaxed

a b c (Å): 4.904 4.904 4.191
angles (deg): 90.00 90.00 90.00
Fractional coordinates of all 5 atoms:
Y (0.000, 0.500, 0.000)
Y (0.500, 0.000, 0.000)
Sc (0.000, 0.000, 0.500)
H (0.000, 0.000, 0.000)
Au (0.500, 0.500, 0.500)

Calculated values
- total energy (eV per atom) = -5.56
- symmetry = P4/mmm (123)
- ρ (g cm⁻³) = 6.9

---

Record 4
Compound: AcNdZnPt
Source: the Alexandria database
Functional: PBE-GGA
Structure: relaxed

a b c (Å): 5.298 5.298 5.298
angles (deg): 60.00 60.00 60.00
Fractional coordinates of all 4 atoms:
Ac (0.000, 0.000, 0.000)
Nd (0.500, 0.500, 0.500)
Zn (0.250, 0.250, 0.250)
Pt (0.750, 0.750, 0.750)

Calculated values
- E above lowest polymorph (eV per atom) = 0.068
- formation energy (meV/atom) = -614
- symmetry = F-43m (216)
- ρ (g cm⁻³) = 10.0

---

Record 5
Compound: SrTaF2
Source: the Alexandria database
Functional: PBE-GGA
Structure: relaxed

a b c (Å): 7.900 7.900 7.900
angles (deg): 23.30 23.30 23.30
Fractional coordinates of all 4 atoms:
Sr (0.000, 0.000, 0.000)
Ta (0.500, 0.500, 0.500)
F (0.405, 0.405, 0.405)
F (0.595, 0.595, 0.595)

Calculated values
- E above lowest polymorph (eV per atom) = 0.000
- symmetry = R-3m (166)
- ρ (g cm⁻³) = 7.5
- ΔE_f (raw) (eV/atom) = -1.61

---

Record 6
Compound: ZrNiAu
Source: the Alexandria database
Functional: PBE-GGA
Structure: relaxed

a b c (Å): 4.966 4.966 4.966
angles (deg): 139.59 139.59 58.48
Fractional coordinates of all 3 atoms:
Zr (0.000, 0.000, 0.000)
Ni (0.350, 0.350, 0.000)
Au (0.678, 0.678, 0.000)

Calculated values
- E above lowest polymorph (eV per atom) = 0.000
- formation energy (meV/atom) = -504
- symmetry = I4mm (107)
- ρ (g cm⁻³) = 11.3

---

- Number 5 is which compound?
  SrTaF2